Arrangement A

This record from Alexandria via LeMat-Bulk describes crystalline PrLuAu at its relaxed geometry. The functional is PBE-GGA.

Computed properties:
The value obtained for the total magnetization is 0.00 μB/atom. The density of states at the Fermi level comes out at 1.237 states/eV/atom.

abc: 7.1175 7.1175 7.1175
angles: 90.00 90.00 90.00
Closest atoms and distances in Å follow each position.
Positions (direct):
Pr 0.0000 0.0000 0.0000  4 Au 3.08
Pr 0.0000 0.5000 0.5000  4 Au 3.08
Pr 0.5000 0.0000 0.5000  4 Au 3.08
Pr 0.5000 0.5000 0.0000  4 Au 3.08
Lu 0.0000 0.0000 0.5000  4 Au 3.08
Lu 0.0000 0.5000 0.0000  4 Au 3.08
Lu 0.5000 0.0000 0.0000  4 Au 3.08
Lu 0.5000 0.5000 0.5000  4 Au 3.08
Au 0.2500 0.2500 0.7500  4 Pr 3.08, 4 Lu 3.08
Au 0.2500 0.7500 0.2500  4 Pr 3.08, 4 Lu 3.08
Au 0.7500 0.2500 0.2500  4 Pr 3.08, 4 Lu 3.08
Au 0.7500 0.7500 0.7500  4 Pr 3.08, 4 Lu 3.08

Arrangement B

This record from Alexandria via LeMat-Bulk describes crystalline PrLuAu at its relaxed geometry. The functional is PBE-GGA.

Computed properties:
The value obtained for the total magnetization is 0.00 μB/atom. The density of states at the Fermi level comes out at 0.996 states/eV/atom.

abc: 4.8902 4.8902 4.0469
angles: 90.00 90.00 120.00
Closest atoms and distances in Å follow each position.
Positions (direct):
Pr 0.0000 0.0000 0.0000  6 Au 3.33-3.63, 6 Lu 3.46-3.48
Lu 0.3333 0.6667 0.4960  3 Au 2.84
Au 0.6667 0.3333 0.5642  3 Lu 2.84

Stability ranking, top and bottom: arrangement B is the most stable and arrangement A is the least stable.

Arrangement A

This record from Alexandria via LeMat-Bulk describes crystalline Lu2PuAu at its relaxed geometry. The functional is PBE-GGA.

Computed properties:
The value obtained for the total magnetization is 1.61 μB/atom. The density of states at the Fermi level comes out at 2.647 states/eV/atom.

abc: 3.5324 3.5324 29.6187
angles: 90.00 90.00 120.00
Closest atoms and distances in Å follow each position.
Positions (direct):
Lu 0.0000 0.0000 0.2383  3 Au 2.94
Lu 0.0000 0.0000 0.7617  3 Au 2.94
Lu 0.3333 0.6667 0.4283  3 Au 2.94
Lu 0.3333 0.6667 0.9050  3 Au 2.94
Lu 0.6667 0.3333 0.0950  3 Au 2.94
Lu 0.6667 0.3333 0.5717  3 Au 2.94
Pu 0.0000 0.0000 0.0000  6 Lu 3.48, 6 Pu 3.53
Pu 0.3333 0.6667 0.6667  6 Lu 3.48, 6 Pu 3.53
Pu 0.6667 0.3333 0.3333  6 Lu 3.48, 6 Pu 3.53
Au 0.0000 0.0000 0.5000  6 Lu 2.94
Au 0.3333 0.6667 0.1667  6 Lu 2.94
Au 0.6667 0.3333 0.8333  6 Lu 2.94

Arrangement B

This record from Alexandria via LeMat-Bulk describes crystalline Lu2PuAu at its relaxed geometry. The functional is PBE-GGA.

Computed properties:
The value obtained for the total magnetization is 1.67 μB/atom. The density of states at the Fermi level comes out at 1.678 states/eV/atom.

abc: 3.4986 3.4986 8.2964
angles: 90.00 90.00 90.00
Closest atoms and distances in Å follow each position.
Positions (direct):
Lu 0.0000 0.0000 0.2087  4 Au 3.02
Lu 0.0000 0.0000 0.7913  4 Au 3.02
Pu 0.5000 0.5000 0.5000  8 Lu 3.46, 4 Pu 3.50
Au 0.5000 0.5000 0.0000  8 Lu 3.02

Arrangement C

This record from Alexandria via LeMat-Bulk describes crystalline Lu2PuAu at its relaxed geometry. The functional is PBE-GGA.

Computed properties:
The value obtained for the total magnetization is 1.66 μB/atom. The density of states at the Fermi level comes out at 1.790 states/eV/atom.

abc: 5.1919 5.1919 3.5587
angles: 90.00 90.00 90.00
Closest atoms and distances in Å follow each position.
Positions (direct):
Lu 0.0000 0.5000 0.0000  4 Pu 3.15, 4 Au 3.15
Lu 0.5000 0.0000 0.0000  4 Pu 3.15, 4 Au 3.15
Pu 0.0000 0.0000 0.5000  8 Lu 3.15
Au 0.5000 0.5000 0.5000  8 Lu 3.15

Stability ranking, top and bottom: arrangement B is the most stable and arrangement A is the least stable.

Arrangement A

This record from Alexandria via LeMat-Bulk describes crystalline LuPuAu2 at its relaxed geometry. The functional is PBE-GGA.

Computed properties:
The value obtained for the total magnetization is 1.43 μB/atom. The density of states at the Fermi level comes out at 2.414 states/eV/atom.

abc: 3.5123 3.5123 7.4220
angles: 90.00 90.00 90.00
Closest atoms and distances in Å follow each position.
Positions (direct):
Lu 0.0000 0.0000 0.0000  8 Au 2.99
Pu 0.0000 0.0000 0.5000  8 Au 3.22, 4 Pu 3.51
Au 0.5000 0.5000 0.2249  4 Lu 2.99, 4 Pu 3.22, 1 Au 3.34
Au 0.5000 0.5000 0.7751  4 Lu 2.99, 4 Pu 3.22, 1 Au 3.34

Arrangement B

This record from Alexandria via LeMat-Bulk describes crystalline LuPuAu2 at its relaxed geometry. The functional is PBE-GGA.

Computed properties:
The value obtained for the total magnetization is 1.43 μB/atom. The density of states at the Fermi level comes out at 4.066 states/eV/atom.

abc: 4.1758 4.1758 20.7948
angles: 90.00 90.00 120.00
Closest atoms and distances in Å follow each position.
Positions (direct):
Lu 0.0000 0.0000 0.0000  6 Au 2.90
Lu 0.3333 0.6667 0.6667  6 Au 2.90
Lu 0.6667 0.3333 0.3333  6 Au 2.90
Pu 0.0000 0.0000 0.5000  6 Au 3.04
Pu 0.3333 0.6667 0.1667  6 Au 3.04
Pu 0.6667 0.3333 0.8333  6 Au 3.04
Au 0.0000 0.0000 0.2561  3 Lu 2.90, 3 Pu 3.04
Au 0.0000 0.0000 0.7439  3 Lu 2.90, 3 Pu 3.04
Au 0.3333 0.6667 0.4106  3 Lu 2.90, 3 Pu 3.04
Au 0.3333 0.6667 0.9228  3 Lu 2.90, 3 Pu 3.04
Au 0.6667 0.3333 0.0772  3 Lu 2.90, 3 Pu 3.04
Au 0.6667 0.3333 0.5894  3 Lu 2.90, 3 Pu 3.04

Arrangement C

This record from Alexandria via LeMat-Bulk describes crystalline LuPuAu2 at its relaxed geometry. The functional is PBE-GGA.

Computed properties:
The value obtained for the total magnetization is 1.41 μB/atom. The density of states at the Fermi level comes out at 2.916 states/eV/atom.

abc: 7.1857 7.1857 7.1857
angles: 90.00 90.00 90.00
Closest atoms and distances in Å follow each position.
Positions (direct):
Lu 0.0000 0.0000 0.0000  8 Au 3.11
Lu 0.0000 0.5000 0.5000  8 Au 3.11
Lu 0.5000 0.0000 0.5000  8 Au 3.11
Lu 0.5000 0.5000 0.0000  8 Au 3.11
Pu 0.0000 0.0000 0.5000  8 Au 3.11
Pu 0.0000 0.5000 0.0000  8 Au 3.11
Pu 0.5000 0.0000 0.0000  8 Au 3.11
Pu 0.5000 0.5000 0.5000  8 Au 3.11
Au 0.2500 0.2500 0.2500  4 Pu 3.11, 4 Lu 3.11
Au 0.2500 0.2500 0.7500  4 Pu 3.11, 4 Lu 3.11
Au 0.2500 0.7500 0.2500  4 Pu 3.11, 4 Lu 3.11
Au 0.2500 0.7500 0.7500  4 Pu 3.11, 4 Lu 3.11
Au 0.7500 0.2500 0.2500  4 Pu 3.11, 4 Lu 3.11
Au 0.7500 0.2500 0.7500  4 Pu 3.11, 4 Lu 3.11
Au 0.7500 0.7500 0.2500  4 Pu 3.11, 4 Lu 3.11
Au 0.7500 0.7500 0.7500  4 Pu 3.11, 4 Lu 3.11

Stability ranking, top and bottom: arrangement A is the most stable and arrangement B is the least stable.

Arrangement A

This record from Alexandria via LeMat-Bulk describes crystalline LuPuAu at its relaxed geometry. The functional is PBE-GGA.

Computed properties:
The value obtained for the total magnetization is 2.10 μB/atom. The density of states at the Fermi level comes out at 2.789 states/eV/atom.

abc: 3.5173 3.5173 12.4347
angles: 90.00 90.00 90.00
Closest atoms and distances in Å follow each position.
Positions (direct):
Lu 0.0000 0.0000 0.0000  4 Au 2.95
Lu 0.5000 0.5000 0.5000  4 Au 2.95
Pu 0.0000 0.0000 0.7067  4 Au 3.23, 4 Pu 3.52, 4 Lu 3.58
Pu 0.5000 0.5000 0.2067  4 Au 3.23, 4 Pu 3.52, 4 Lu 3.58
Au 0.0000 0.0000 0.3730  4 Lu 2.95, 4 Pu 3.23
Au 0.5000 0.5000 0.8730  4 Lu 2.95, 4 Pu 3.23

Arrangement B

This record from Alexandria via LeMat-Bulk describes crystalline LuPuAu at its relaxed geometry. The functional is PBE-GGA.

Computed properties:
The value obtained for the total magnetization is 1.99 μB/atom. The density of states at the Fermi level comes out at 2.963 states/eV/atom.

abc: 4.9663 4.9663 3.4406
angles: 90.00 90.00 120.00
Closest atoms and distances in Å follow each position.
Positions (direct):
Lu 0.0000 0.0000 0.0000  3 Au 2.97, 3 Pu 3.24
Pu 0.3333 0.6667 0.4373  3 Au 3.10, 6 Lu 3.24-3.46, 2 Pu 3.44
Au 0.6667 0.3333 0.7767  3 Lu 2.97, 3 Pu 3.10

Stability ranking, top and bottom: arrangement A is the most stable and arrangement B is the least stable.

Arrangement A

This record from Alexandria via LeMat-Bulk describes crystalline LuSc2Au at its relaxed geometry. The functional is PBE-GGA.

Computed properties:
The value obtained for the total magnetization is 0.00 μB/atom. The density of states at the Fermi level comes out at 1.453 states/eV/atom.

abc: 3.4564 3.4564 7.8137
angles: 90.00 90.00 90.00
Closest atoms and distances in Å follow each position.
Positions (direct):
Lu 0.0000 0.0000 0.0000  8 Sc 3.34, 4 Lu 3.46
Sc 0.5000 0.5000 0.2916  4 Au 2.94, 1 Sc 3.26
Sc 0.5000 0.5000 0.7084  4 Au 2.94, 1 Sc 3.26
Au 0.0000 0.0000 0.5000  8 Sc 2.94

Arrangement B

This record from Alexandria via LeMat-Bulk describes crystalline LuSc2Au at its relaxed geometry. The functional is PBE-GGA.

Computed properties:
The value obtained for the total magnetization is 0.04 μB/atom. The density of states at the Fermi level comes out at 1.584 states/eV/atom.

abc: 4.3993 4.3993 4.6169
angles: 90.00 90.00 90.00
Closest atoms and distances in Å follow each position.
Positions (direct):
Lu 0.0000 0.0000 0.0000  4 Au 3.11, 8 Sc 3.19
Sc 0.0000 0.5000 0.5000  4 Sc 3.11, 4 Lu 3.19, 4 Au 3.19
Sc 0.5000 0.0000 0.5000  4 Sc 3.11, 4 Lu 3.19, 4 Au 3.19
Au 0.5000 0.5000 0.0000  4 Lu 3.11, 8 Sc 3.19

Stability ranking, top and bottom: arrangement A is the most stable and arrangement B is the least stable.

Arrangement A

This record from Alexandria via LeMat-Bulk describes crystalline Lu2ScAu at its relaxed geometry. The functional is PBE-GGA.

Computed properties:
The value obtained for the total magnetization is 0.00 μB/atom. The density of states at the Fermi level comes out at 1.169 states/eV/atom.

abc: 3.3616 3.3616 32.4225
angles: 90.00 90.00 120.00
Closest atoms and distances in Å follow each position.
Positions (direct):
Lu 0.0000 0.0000 0.0857  1 Au 2.78
Lu 0.0000 0.0000 0.9143  1 Au 2.78
Lu 0.3333 0.6667 0.5809  1 Au 2.78
Lu 0.3333 0.6667 0.7524  1 Au 2.78
Lu 0.6667 0.3333 0.2476  1 Au 2.78
Lu 0.6667 0.3333 0.4191  1 Au 2.78
Sc 0.0000 0.0000 0.5000  6 Lu 3.26, 6 Sc 3.36
Sc 0.3333 0.6667 0.1667  6 Lu 3.26, 6 Sc 3.36
Sc 0.6667 0.3333 0.8333  6 Lu 3.26, 6 Sc 3.36
Au 0.0000 0.0000 0.0000  2 Lu 2.78
Au 0.3333 0.6667 0.6667  2 Lu 2.78
Au 0.6667 0.3333 0.3333  2 Lu 2.78

Arrangement B

This record from Alexandria via LeMat-Bulk describes crystalline Lu2ScAu at its relaxed geometry. The functional is PBE-GGA.

Computed properties:
The value obtained for the total magnetization is 0.00 μB/atom. The density of states at the Fermi level comes out at 1.210 states/eV/atom.

abc: 3.5672 3.5672 7.6655
angles: 90.00 90.00 90.00
Closest atoms and distances in Å follow each position.
Positions (direct):
Lu 0.0000 0.0000 0.2216  4 Au 3.04, 4 Sc 3.30, 1 Lu 3.40
Lu 0.0000 0.0000 0.7784  4 Au 3.04, 4 Sc 3.30, 1 Lu 3.40
Sc 0.5000 0.5000 0.5000  8 Lu 3.30, 4 Sc 3.57
Au 0.5000 0.5000 0.0000  8 Lu 3.04

Stability ranking, top and bottom: arrangement B is the most stable and arrangement A is the least stable.

Arrangement A

This record from Alexandria via LeMat-Bulk describes crystalline Sm2LuAu at its relaxed geometry. The functional is PBE-GGA.

Computed properties:
The value obtained for the total magnetization is 0.00 μB/atom. The density of states at the Fermi level comes out at 1.503 states/eV/atom.

abc: 3.6951 3.6951 8.3116
angles: 90.00 90.00 90.00
Closest atoms and distances in Å follow each position.
Positions (direct):
Sm 0.0000 0.0000 0.2152  4 Au 3.17, 4 Lu 3.53
Sm 0.0000 0.0000 0.7848  4 Au 3.17, 4 Lu 3.53
Lu 0.5000 0.5000 0.5000  8 Sm 3.53, 4 Lu 3.70
Au 0.5000 0.5000 0.0000  8 Sm 3.17

Arrangement B

This record from Alexandria via LeMat-Bulk describes crystalline Sm2LuAu at its relaxed geometry. The functional is PBE-GGA.

Computed properties:
The value obtained for the total magnetization is 0.00 μB/atom. The density of states at the Fermi level comes out at 0.903 states/eV/atom.

abc: 3.6723 3.6723 30.3864
angles: 90.00 90.00 120.00
Closest atoms and distances in Å follow each position.
Positions (direct):
Sm 0.0000 0.0000 0.2398  3 Au 3.07
Sm 0.0000 0.0000 0.7602  3 Au 3.07
Sm 0.3333 0.6667 0.4269  3 Au 3.07
Sm 0.3333 0.6667 0.9064  3 Au 3.07
Sm 0.6667 0.3333 0.0936  3 Au 3.07
Sm 0.6667 0.3333 0.5731  3 Au 3.07
Lu 0.0000 0.0000 0.0000  6 Sm 3.55, 6 Lu 3.67
Lu 0.3333 0.6667 0.6667  6 Sm 3.55, 6 Lu 3.67
Lu 0.6667 0.3333 0.3333  6 Sm 3.55, 6 Lu 3.67
Au 0.0000 0.0000 0.5000  6 Sm 3.07
Au 0.3333 0.6667 0.1667  6 Sm 3.07
Au 0.6667 0.3333 0.8333  6 Sm 3.07

Stability ranking, top and bottom: arrangement A is the most stable and arrangement B is the least stable.

Arrangement A

This record from Alexandria via LeMat-Bulk describes crystalline TbLuAu2 at its relaxed geometry. The functional is PBE-GGA.

Computed properties:
The value obtained for the total magnetization is 0.00 μB/atom. The density of states at the Fermi level comes out at 0.501 states/eV/atom.

abc: 3.5415 3.5415 7.2510
angles: 90.00 90.00 90.00
Closest atoms and distances in Å follow each position.
Positions (direct):
Tb 0.0000 0.0000 0.0000  8 Au 3.15
Lu 0.0000 0.0000 0.5000  8 Au 3.03
Au 0.5000 0.5000 0.2641  4 Lu 3.03, 4 Tb 3.15
Au 0.5000 0.5000 0.7359  4 Lu 3.03, 4 Tb 3.15

Arrangement B

This record from Alexandria via LeMat-Bulk describes crystalline TbLuAu2 at its relaxed geometry. The functional is PBE-GGA.

Computed properties:
The value obtained for the total magnetization is 0.00 μB/atom. The density of states at the Fermi level comes out at 0.647 states/eV/atom.

abc: 7.1490 7.1490 7.1490
angles: 90.00 90.00 90.00
Closest atoms and distances in Å follow each position.
Positions (direct):
Tb 0.0000 0.0000 0.0000  8 Au 3.10
Tb 0.0000 0.5000 0.5000  8 Au 3.10
Tb 0.5000 0.0000 0.5000  8 Au 3.10
Tb 0.5000 0.5000 0.0000  8 Au 3.10
Lu 0.0000 0.0000 0.5000  8 Au 3.10
Lu 0.0000 0.5000 0.0000  8 Au 3.10
Lu 0.5000 0.0000 0.0000  8 Au 3.10
Lu 0.5000 0.5000 0.5000  8 Au 3.10
Au 0.2500 0.2500 0.2500  4 Tb 3.10, 4 Lu 3.10
Au 0.2500 0.2500 0.7500  4 Tb 3.10, 4 Lu 3.10
Au 0.2500 0.7500 0.2500  4 Tb 3.10, 4 Lu 3.10
Au 0.2500 0.7500 0.7500  4 Tb 3.10, 4 Lu 3.10
Au 0.7500 0.2500 0.2500  4 Tb 3.10, 4 Lu 3.10
Au 0.7500 0.2500 0.7500  4 Tb 3.10, 4 Lu 3.10
Au 0.7500 0.7500 0.2500  4 Tb 3.10, 4 Lu 3.10
Au 0.7500 0.7500 0.7500  4 Tb 3.10, 4 Lu 3.10

Arrangement C

This record from Alexandria via LeMat-Bulk describes crystalline TbLuAu2 at its relaxed geometry. The functional is PBE-GGA.

Computed properties:
The value obtained for the total magnetization is 0.00 μB/atom. The density of states at the Fermi level comes out at 0.724 states/eV/atom.

abc: 4.2207 4.2207 19.9305
angles: 90.00 90.00 120.00
Closest atoms and distances in Å follow each position.
Positions (direct):
Tb 0.0000 0.0000 0.0000  6 Au 3.00
Tb 0.3333 0.6667 0.6667  6 Au 3.00
Tb 0.6667 0.3333 0.3333  6 Au 3.00
Lu 0.0000 0.0000 0.5000  6 Au 2.90
Lu 0.3333 0.6667 0.1667  6 Au 2.90
Lu 0.6667 0.3333 0.8333  6 Au 2.90
Au 0.0000 0.0000 0.2458  3 Lu 2.90, 3 Tb 3.00
Au 0.0000 0.0000 0.7542  3 Lu 2.90, 3 Tb 3.00
Au 0.3333 0.6667 0.4209  3 Lu 2.90, 3 Tb 3.00
Au 0.3333 0.6667 0.9124  3 Lu 2.90, 3 Tb 3.00
Au 0.6667 0.3333 0.0876  3 Lu 2.90, 3 Tb 3.00
Au 0.6667 0.3333 0.5791  3 Lu 2.90, 3 Tb 3.00

Stability ranking, top and bottom: arrangement A is the most stable and arrangement C is the least stable.